No. 1
An optimized crystal structure of HfZn3Au, computed with PBE.

abc: 4.403 6.166 6.194
angles: 90.00 90.00 90.00
Element x y z (fractional)
Hf: 0.250 0.250 0.242
Hf: 0.750 0.750 0.758
Zn: 0.250 0.053 0.770
Zn: 0.250 0.447 0.770
Zn: 0.250 0.750 0.057
Zn: 0.750 0.250 0.943
Zn: 0.750 0.553 0.230
Zn: 0.750 0.947 0.230
Au: 0.250 0.750 0.465
Au: 0.750 0.250 0.535

Output
Total moment in μB/cell: 0.0
Energy of formation from the pure elements in eV/atom: -0.1507
Calculated density in g cm⁻³: 11.289

=====

No. 2
An optimized crystal structure of HfZn4Au, computed with PBE.

abc: 5.160 5.160 5.160
angles: 60.00 60.00 60.00
Element x y z (fractional)
Hf: 0.000 0.000 0.000
Zn: 0.374 0.374 0.374
Zn: 0.374 0.374 0.879
Zn: 0.374 0.879 0.374
Zn: 0.879 0.374 0.374
Au: 0.750 0.750 0.750

Output
Total moment in μB/cell: 0.0
Energy of formation from the pure elements in eV/atom: -0.0360
Calculated density in g cm⁻³: 10.889

=====

No. 3
An optimized crystal structure of HfZnAu, computed with PBE.

abc: 5.795 5.795 5.795
angles: 148.26 148.26 45.51
Element x y z (fractional)
Hf: 0.000 0.000 0.000
Zn: 0.329 0.329 0.000
Au: 0.678 0.678 0.000

Output
Total moment in μB/cell: 0.0
Energy of formation from the pure elements in eV/atom: -0.3107
Calculated density in g cm⁻³: 13.637

=====

No. 4
An optimized crystal structure of HfZn3Au6, computed with PBE.

abc: 8.367 4.449 9.526
angles: 90.00 101.50 90.00
Element x y z (fractional)
Hf: 0.069 0.250 0.385
Hf: 0.931 0.750 0.615
Zn: 0.246 0.250 0.018
Zn: 0.335 0.750 0.821
Zn: 0.450 0.250 0.592
Zn: 0.550 0.750 0.408
Zn: 0.665 0.250 0.179
Zn: 0.754 0.750 0.982
Au: 0.057 0.750 0.914
Au: 0.157 0.250 0.705
Au: 0.168 0.750 0.220
Au: 0.243 0.750 0.530
Au: 0.392 0.250 0.301
Au: 0.483 0.750 0.104
Au: 0.517 0.250 0.896
Au: 0.608 0.750 0.699
Au: 0.757 0.250 0.470
Au: 0.832 0.250 0.780
Au: 0.843 0.750 0.295
Au: 0.943 0.250 0.086

Output
Total moment in μB/cell: 0.0
Energy of formation from the pure elements in eV/atom: -0.2639
Calculated density in g cm⁻³: 14.877

=====

No. 5
An optimized crystal structure of HfZnAu, computed with PBE.

abc: 4.514 4.514 3.032
angles: 90.00 90.00 120.00
Element x y z (fractional)
Hf: 0.000 0.000 0.000
Zn: 0.333 0.667 0.500
Au: 0.667 0.333 0.500

Output
Total moment in μB/cell: 0.0
Energy of formation from the pure elements in eV/atom: -0.3812
Calculated density in g cm⁻³: 13.681

=====

No. 6
An optimized crystal structure of Hf2Zr2Zn4Au, computed with PBE.

abc: 6.421 6.421 6.421
angles: 122.84 122.84 85.14
Element x y z (fractional)
Hf: 0.250 0.750 0.500
Hf: 0.750 0.250 0.500
Zr: 0.218 0.218 0.000
Zr: 0.782 0.782 0.000
Zn: 0.215 0.215 0.431
Zn: 0.215 0.785 0.000
Zn: 0.785 0.215 0.000
Zn: 0.785 0.785 0.569
Au: 0.500 0.500 0.000

Output
Total moment in μB/cell: 0.0
Energy of formation from the pure elements in eV/atom: 0.0634
Calculated density in g cm⁻³: 9.287

=====

No. 7
An optimized crystal structure of Hf2ZrAu, computed with PBE.

abc: 3.233 3.233 8.087
angles: 90.00 90.00 90.00
Element x y z (fractional)
Hf: 0.000 0.000 0.236
Hf: 0.000 0.000 0.764
Zr: 0.500 0.500 0.500
Au: 0.500 0.500 0.000

Output
Total moment in μB/cell: 0.0
Energy of formation from the pure elements in eV/atom: -0.2905
Calculated density in g cm⁻³: 12.671

=====

No. 8
An optimized crystal structure of HfZr2Au2, computed with PBE.

abc: 7.935 7.935 3.378
angles: 90.00 90.00 90.00
Element x y z (fractional)
Hf: 0.000 0.000 0.000
Hf: 0.500 0.500 0.000
Zr: 0.166 0.334 0.000
Zr: 0.334 0.834 0.000
Zr: 0.666 0.166 0.000
Zr: 0.834 0.666 0.000
Au: 0.132 0.632 0.500
Au: 0.368 0.132 0.500
Au: 0.632 0.868 0.500
Au: 0.868 0.368 0.500

Output
Total moment in μB/cell: 0.0
Energy of formation from the pure elements in eV/atom: -0.1678
Calculated density in g cm⁻³: 11.786

=====

No. 9
An optimized crystal structure of HfZr2Au, computed with PBE.

abc: 10.996 10.996 10.996
angles: 158.54 158.54 30.53
Element x y z (fractional)
Hf: 0.000 0.000 0.000
Hf: 0.750 0.250 0.500
Zr: 0.129 0.625 0.004
Zr: 0.375 0.379 0.504
Zr: 0.621 0.125 0.996
Zr: 0.875 0.871 0.496
Au: 0.250 0.750 0.500
Au: 0.500 0.500 0.000

Output
Total moment in μB/cell: 0.0
Energy of formation from the pure elements in eV/atom: 0.1542
Calculated density in g cm⁻³: 10.418

=====

No. 10
An optimized crystal structure of HfZr2Au2, computed with PBE.

abc: 7.702 7.702 3.557
angles: 90.00 90.00 90.00
Element x y z (fractional)
Hf: 0.000 0.000 0.000
Hf: 0.500 0.500 0.000
Zr: 0.172 0.328 0.500
Zr: 0.328 0.828 0.500
Zr: 0.672 0.172 0.500
Zr: 0.828 0.672 0.500
Au: 0.129 0.629 0.000
Au: 0.371 0.129 0.000
Au: 0.629 0.871 0.000
Au: 0.871 0.371 0.000

Output
Total moment in μB/cell: 0.0
Energy of formation from the pure elements in eV/atom: -0.3701
Calculated density in g cm⁻³: 11.881

=====

No. 11
An optimized crystal structure of HfZr2Au, computed with PBE.

abc: 3.230 3.230 8.228
angles: 90.00 90.00 90.00
Element x y z (fractional)
Hf: 0.000 0.000 0.000
Zr: 0.500 0.500 0.261
Zr: 0.500 0.500 0.739
Au: 0.000 0.000 0.500

Output
Total moment in μB/cell: 0.0
Energy of formation from the pure elements in eV/atom: -0.3123
Calculated density in g cm⁻³: 10.793

=====

No. 12
An optimized crystal structure of HfZr2Au, computed with PBE.

abc: 4.897 4.897 4.897
angles: 60.00 60.00 60.00
Element x y z (fractional)
Hf: 0.000 0.000 0.000
Zr: 0.250 0.250 0.250
Zr: 0.750 0.750 0.750
Au: 0.500 0.500 0.500

Output
Total moment in μB/cell: 0.0
Energy of formation from the pure elements in eV/atom: -0.1093
Calculated density in g cm⁻³: 11.158

=====

No. 13
An optimized crystal structure of Hf2ZrAu, computed with PBE.

abc: 9.704 9.704 9.704
angles: 19.30 19.30 19.30
Element x y z (fractional)
Hf: 0.000 0.000 0.000
Hf: 0.176 0.176 0.176
Zr: 0.421 0.421 0.421
Au: 0.588 0.588 0.588

Output
Total moment in μB/cell: 0.0
Energy of formation from the pure elements in eV/atom: -0.1297
Calculated density in g cm⁻³: 12.279

=====

No. 14
An optimized crystal structure of HfZrAu, computed with PBE.

abc: 4.769 4.769 3.264
angles: 90.00 90.00 120.00
Element x y z (fractional)
Hf: 0.000 0.000 0.000
Zr: 0.667 0.333 0.478
Au: 0.333 0.667 0.920

Output
Total moment in μB/cell: 0.0
Energy of formation from the pure elements in eV/atom: -0.0703
Calculated density in g cm⁻³: 12.055

=====

No. 15
An optimized crystal structure of HfZrAu5, computed with PBE.

abc: 4.974 4.974 11.617
angles: 100.28 100.28 98.48
Element x y z (fractional)
Hf: 0.000 0.000 0.000
Hf: 0.000 0.000 0.500
Zr: 0.450 0.550 0.750
Zr: 0.550 0.450 0.250
Au: 0.020 0.534 0.134
Au: 0.064 0.936 0.750
Au: 0.226 0.506 0.444
Au: 0.466 0.980 0.366
Au: 0.494 0.774 0.056
Au: 0.506 0.226 0.944
Au: 0.534 0.020 0.634
Au: 0.774 0.494 0.556
Au: 0.936 0.064 0.250
Au: 0.980 0.466 0.866

Output
Total moment in μB/cell: 0.0
Energy of formation from the pure elements in eV/atom: -0.3907
Calculated density in g cm⁻³: 15.234

=====

No. 16
An optimized crystal structure of Hf2Zr2Au, computed with PBE.

abc: 7.291 7.291 4.274
angles: 90.00 90.00 90.00
Element x y z (fractional)
Hf: 0.152 0.348 0.000
Hf: 0.348 0.848 0.000
Hf: 0.652 0.152 0.000
Hf: 0.848 0.652 0.000
Zr: 0.145 0.645 0.500
Zr: 0.355 0.145 0.500
Zr: 0.645 0.855 0.500
Zr: 0.855 0.355 0.500
Au: 0.000 0.000 0.500
Au: 0.500 0.500 0.500

Output
Total moment in μB/cell: 0.0
Energy of formation from the pure elements in eV/atom: 0.0860
Calculated density in g cm⁻³: 10.762

=====

No. 17
An optimized crystal structure of HfZr2Au, computed with PBE.

abc: 4.335 4.335 4.458
angles: 90.00 90.00 90.00
Element x y z (fractional)
Hf: 0.000 0.000 0.000
Zr: 0.000 0.500 0.500
Zr: 0.500 0.000 0.500
Au: 0.500 0.500 0.000

Output
Total moment in μB/cell: 0.0
Energy of formation from the pure elements in eV/atom: -0.2238
Calculated density in g cm⁻³: 11.057

=====

No. 18
An optimized crystal structure of HfZr2Au, computed with PBE.

abc: 3.235 3.235 8.193
angles: 90.00 90.00 90.00
Element x y z (fractional)
Hf: 0.000 0.000 0.000
Zr: 0.000 0.000 0.529
Zr: 0.500 0.500 0.258
Au: 0.500 0.500 0.775

Output
Total moment in μB/cell: 0.0
Energy of formation from the pure elements in eV/atom: -0.3031
Calculated density in g cm⁻³: 10.803

=====

No. 19
An optimized crystal structure of HfZr2Au2, computed with PBE.

abc: 8.073 8.073 8.073
angles: 152.43 152.43 39.39
Element x y z (fractional)
Hf: 0.000 0.000 0.000
Zr: 0.399 0.399 0.000
Zr: 0.601 0.601 0.000
Au: 0.250 0.750 0.500
Au: 0.750 0.250 0.500

Output
Total moment in μB/cell: 0.0
Energy of formation from the pure elements in eV/atom: 0.1054
Calculated density in g cm⁻³: 11.140

=====

No. 20
An optimized crystal structure of HfZr2Au2, computed with PBE.

abc: 7.452 7.452 3.242
angles: 90.00 90.00 144.24
Element x y z (fractional)
Hf: 0.000 0.000 0.000
Zr: 0.385 0.615 0.500
Zr: 0.615 0.385 0.500
Au: 0.192 0.808 0.000
Au: 0.808 0.192 0.000

Output
Total moment in μB/cell: 0.0
Energy of formation from the pure elements in eV/atom: -0.3381
Calculated density in g cm⁻³: 11.914

=====

No. 21
An optimized crystal structure of HfZr3Au, computed with PBE.

abc: 5.151 5.151 5.151
angles: 90.00 90.00 90.00
Element x y z (fractional)
Hf: 0.000 0.000 0.000
Zr: 0.000 0.500 0.500
Zr: 0.500 0.000 0.500
Zr: 0.500 0.500 0.000
Au: 0.500 0.500 0.500

Output
Total moment in μB/cell: 0.0
Energy of formation from the pure elements in eV/atom: 0.7238
Calculated density in g cm⁻³: 7.887

=====

No. 22
An optimized crystal structure of Hf2ZrAu, computed with PBE.

abc: 4.408 4.408 4.267
angles: 90.00 90.00 90.00
Element x y z (fractional)
Hf: 0.000 0.500 0.000
Hf: 0.500 0.000 0.000
Zr: 0.000 0.000 0.500
Au: 0.500 0.500 0.500

Output
Total moment in μB/cell: 0.0
Energy of formation from the pure elements in eV/atom: -0.2059
Calculated density in g cm⁻³: 12.920

=====

No. 23
An optimized crystal structure of Hf2ZrAu, computed with PBE.

abc: 10.725 10.725 10.725
angles: 157.69 157.69 31.76
Element x y z (fractional)
Hf: 0.123 0.625 0.998
Hf: 0.375 0.373 0.498
Hf: 0.627 0.125 0.002
Hf: 0.875 0.877 0.502
Zr: 0.250 0.750 0.500
Zr: 0.500 0.500 0.000
Au: 0.000 0.000 0.000
Au: 0.750 0.250 0.500

Output
Total moment in μB/cell: 0.0
Energy of formation from the pure elements in eV/atom: 0.1802
Calculated density in g cm⁻³: 12.061

=====

No. 24
An optimized crystal structure of Hf2ZrAu, computed with PBE.

abc: 4.863 4.863 4.863
angles: 60.00 60.00 60.00
Element x y z (fractional)
Hf: 0.250 0.250 0.250
Hf: 0.750 0.750 0.750
Zr: 0.000 0.000 0.000
Au: 0.500 0.500 0.500

Output
Total moment in μB/cell: 0.0
Energy of formation from the pure elements in eV/atom: -0.1009
Calculated density in g cm⁻³: 13.178

=====

No. 25
An optimized crystal structure of HfZr2Au, computed with PBE.

abc: 9.837 9.837 9.837
angles: 18.96 18.96 18.96
Element x y z (fractional)
Hf: 0.000 0.000 0.000
Zr: 0.581 0.581 0.581
Zr: 0.753 0.753 0.753
Au: 0.168 0.168 0.168

Output
Total moment in μB/cell: 0.0
Energy of formation from the pure elements in eV/atom: -0.1365
Calculated density in g cm⁻³: 10.546

=====

No. 26
An optimized crystal structure of Hf2ZrAu, computed with PBE.

abc: 11.195 11.195 5.118
angles: 90.00 90.00 164.48
Element x y z (fractional)
Hf: 0.155 0.845 0.750
Hf: 0.226 0.774 0.250
Hf: 0.774 0.226 0.750
Hf: 0.845 0.155 0.250
Zr: 0.461 0.539 0.250
Zr: 0.539 0.461 0.750
Au: 0.083 0.917 0.250
Au: 0.917 0.083 0.750

Output
Total moment in μB/cell: 0.0
Energy of formation from the pure elements in eV/atom: 0.0092
Calculated density in g cm⁻³: 12.482